No. 1
Material: ReMoAu2
Method: DFT, GGA-PBE
State: optimized geometry

a = 5.4685 Å, b = 8.7695 Å, c = 2.7313 Å
α = 90.00°, β = 90.00°, γ = 90.00°
Space group Cmmm (No. 65)
Unique sites:
Re 0.0000 0.0000 0.0000 [2 per cell]
Mo 0.0000 0.5000 0.0000 [2 per cell]
Au 0.2500 0.2500 0.5000 [4 per cell]

Computed properties:
The total magnetization is 0.00 μB/f.u. Its energy of formation is 0.44 eV per atom. The calculated volume is 16.4 A^3/atom.

=====

No. 2
Material: Sc2SnPd8
Method: DFT, GGA-PBE
State: optimized geometry

a = 14.4541 Å, b = 4.1102 Å, c = 6.3728 Å
α = 90.00°, β = 105.29°, γ = 90.00°
Space group C2/m (No. 12)
Unique sites:
Sc 0.2172 0.0000 0.1635 [4 per cell]
Sn 0.0000 0.5000 0.5000 [2 per cell]
Pd 0.0395 0.0000 0.2300 [4 per cell]
Pd 0.0949 0.5000 0.9562 [4 per cell]
Pd 0.1498 0.0000 0.7036 [4 per cell]
Pd 0.1756 0.5000 0.4136 [4 per cell]

Computed properties:
The total magnetization is 0.00 μB/f.u. Its energy of formation is -0.67 eV per atom. The calculated volume is 16.6 A^3/atom.

=====

No. 3
Material: KTc2As
Method: DFT, GGA-PBE
State: optimized geometry

a = 2.8611 Å, b = 3.8268 Å, c = 7.6951 Å
α = 90.00°, β = 90.00°, γ = 90.00°
Space group Pmm2 (No. 25)
Unique sites:
K 0.0000 0.0000 0.0000 [1 per cell]
Tc 0.0000 0.0000 0.5022 [1 per cell]
Tc 0.5000 0.5000 0.3639 [1 per cell]
As 0.5000 0.5000 0.6866 [1 per cell]

Computed properties:
The total magnetization is 0.00 μB/f.u. Its energy of formation is 0.32 eV per atom. The calculated volume is 21.1 A^3/atom.